The following is a DFT calculation (PBE) of a geometry-optimized Hf2CrGaH structure.

Summary:
Space group   No. 123
Crystal system   tetragonal
Energy   -7.426 eV/atom

Unit cell a=4.5244 b=4.5244 c=3.4784 alpha=90.00 beta=90.00 gamma=90.00
With the nearest neighbours (Å) after each atom.
Fractional coordinates of all 5 atoms:
Hf (0.0000, 0.5000, 0.0000)  2 H 2.26
Hf (0.5000, 0.0000, 0.0000)  2 H 2.26
Cr (0.0000, 0.0000, 0.5000)  2 H 1.74
Ga (0.5000, 0.5000, 0.5000)  8 Hf 2.85
H (0.0000, 0.0000, 0.0000)  2 Cr 1.74

---

The following is a DFT calculation (PBE) of a geometry-optimized La4Er3Te8 structure.

Summary:
Raw formation energy   -1.267 eV per atom
Space group   No. 166
Crystal system   trigonal

Unit cell a=9.7362 b=9.7362 c=9.7362 alpha=53.32 beta=53.32 gamma=53.32
With the nearest neighbours (Å) after each atom.
Fractional coordinates of all 15 atoms:
La (0.0000, 0.0000, 0.0000)  6 Te 3.25, 2 La 3.61
La (0.1445, 0.1445, 0.1445)  4 Te 3.11-3.13
La (0.5000, 0.5000, 0.5000)  6 Te 3.30
La (0.8555, 0.8555, 0.8555)  4 Te 3.11-3.13
Er (0.0000, 0.5000, 0.5000)  6 Te 2.99-3.13
Er (0.5000, 0.0000, 0.5000)  6 Te 2.99-3.13
Er (0.5000, 0.5000, 0.0000)  6 Te 2.99-3.13
Te (0.2506, 0.2506, 0.7292)  3 La 3.13-3.30, 2 Er 3.13
Te (0.2506, 0.7292, 0.2506)  3 La 3.13-3.30, 2 Er 3.13
Te (0.2688, 0.2688, 0.2688)  3 Er 2.99, 1 La 3.11
Te (0.2708, 0.7494, 0.7494)  3 La 3.13-3.30, 2 Er 3.13
Te (0.7292, 0.2506, 0.2506)  3 La 3.13-3.30, 2 Er 3.13
Te (0.7312, 0.7312, 0.7312)  3 Er 2.99, 1 La 3.11
Te (0.7494, 0.2708, 0.7494)  3 La 3.13-3.30, 2 Er 3.13
Te (0.7494, 0.7494, 0.2708)  3 La 3.13-3.30, 2 Er 3.13

---

The following is a DFT calculation (PBE) of a geometry-optimized Y4Pd2Pt structure.

Summary:
Formation energy from the elements   -825 meV/atom
Space group   No. 166
Crystal system   trigonal

Unit cell a=8.5796 b=8.5796 c=8.5796 alpha=33.37 beta=33.37 gamma=33.37
With the nearest neighbours (Å) after each atom.
Fractional coordinates of all 7 atoms:
Y (0.1246, 0.1246, 0.1246)  4 Pd 3.00, 1 Pt 3.03
Y (0.3747, 0.3747, 0.3747)  3 Pt 3.02, 4 Pd 3.04-3.07
Y (0.6253, 0.6253, 0.6253)  3 Pt 3.02, 4 Pd 3.04-3.07
Y (0.8754, 0.8754, 0.8754)  4 Pd 3.00, 1 Pt 3.03
Pd (0.2482, 0.2482, 0.2482)  8 Y 3.00-3.07
Pd (0.7518, 0.7518, 0.7518)  8 Y 3.00-3.07
Pt (0.0000, 0.0000, 0.0000)  8 Y 3.02-3.03

---

The following is a DFT calculation (PBE) of a geometry-optimized CdP2Cl2 structure.

Summary:
Raw formation energy   -0.120 eV per atom
Energy above the most stable polymorph in this dataset   0.0 meV/atom
Space group   No. 127
Crystal system   tetragonal

Unit cell a=6.7321 b=6.7321 c=4.8855 alpha=90.00 beta=90.00 gamma=90.00
With the nearest neighbours (Å) after each atom.
Fractional coordinates of all 10 atoms:
Cd (0.0000, 0.0000, 0.0000)  4 P 2.70
Cd (0.5000, 0.5000, 0.0000)  4 P 2.70
P (0.1163, 0.3837, 0.0000)  1 P 2.22
P (0.3837, 0.8837, 0.0000)  1 P 2.22
P (0.6163, 0.1163, 0.0000)  1 P 2.22
P (0.8837, 0.6163, 0.0000)  1 P 2.22
Cl (0.1629, 0.3371, 0.5000)  2 P 2.48
Cl (0.3371, 0.8371, 0.5000)  2 P 2.48
Cl (0.6629, 0.1629, 0.5000)  2 P 2.48
Cl (0.8371, 0.6629, 0.5000)  2 P 2.48

---

The following is a DFT calculation (PBE) of a geometry-optimized Pm6Sn3H structure.

Summary:
Space group   No. 36
Crystal system   orthorhombic
Energy   -4.790 eV/atom

Unit cell a=9.5187 b=9.5187 c=7.2224 alpha=90.00 beta=90.00 gamma=102.30
With the nearest neighbours (Å) after each atom.
Fractional coordinates of all 20 atoms:
Pm (0.0458, 0.9542, 0.5000)  1 H 2.37
Pm (0.0988, 0.5775, 0.5092)  1 H 2.37
Pm (0.2258, 0.7742, 0.0496)  1 H 2.41
Pm (0.3117, 0.3670, 0.0444)  4 Sn 3.10-3.28
Pm (0.3670, 0.3117, 0.5444)  4 Sn 3.10-3.28
Pm (0.4225, 0.9012, 0.5092)  1 H 2.37
Pm (0.5775, 0.0988, 0.0092)  1 H 2.37
Pm (0.6330, 0.6883, 0.0444)  4 Sn 3.10-3.28
Pm (0.6883, 0.6330, 0.5444)  4 Sn 3.10-3.28
Pm (0.7742, 0.2258, 0.5496)  1 H 2.41
Pm (0.9012, 0.4225, 0.0092)  1 H 2.37
Pm (0.9542, 0.0458, 0.0000)  1 H 2.37
Sn (0.0612, 0.2759, 0.3223)  7 Pm 3.10-3.29
Sn (0.2759, 0.0612, 0.8223)  7 Pm 3.10-3.29
Sn (0.3806, 0.6194, 0.7500)  7 Pm 3.15-3.26
Sn (0.6194, 0.3806, 0.2500)  7 Pm 3.15-3.26
Sn (0.7241, 0.9388, 0.3223)  7 Pm 3.10-3.29
Sn (0.9388, 0.7241, 0.8223)  7 Pm 3.10-3.29
H (0.1941, 0.8059, 0.3774)  4 Pm 2.37-2.41
H (0.8059, 0.1941, 0.8774)  4 Pm 2.37-2.41

---

The following is a DFT calculation (PBE) of a geometry-optimized CuNiHIr2 structure.

Summary:
Space group   No. 123
Crystal system   tetragonal
Energy   -5.991 eV/atom

Unit cell a=3.8796 b=3.8796 c=3.6704 alpha=90.00 beta=90.00 gamma=90.00
With the nearest neighbours (Å) after each atom.
Fractional coordinates of all 5 atoms:
Cu (0.0000, 0.0000, 0.0000)  8 Ir 2.67, 4 Ni 2.74
Ni (0.5000, 0.5000, 0.0000)  2 H 1.84
H (0.5000, 0.5000, 0.5000)  2 Ni 1.84, 4 Ir 1.94
Ir (0.0000, 0.5000, 0.5000)  2 H 1.94
Ir (0.5000, 0.0000, 0.5000)  2 H 1.94

---

The following is a DFT calculation (PBE) of a geometry-optimized NpHg2Cl4 structure.

Summary:
Raw formation energy   -1.091 eV per atom
Space group   No. 139
Crystal system   tetragonal

Unit cell a=12.3526 b=12.3526 c=12.3526 alpha=155.05 beta=155.05 gamma=35.57
With the nearest neighbours (Å) after each atom.
Fractional coordinates of all 7 atoms:
Np (0.0000, 0.0000, 0.0000)  6 Cl 2.51-2.67
Hg (0.2566, 0.2566, 0.0000)  1 Cl 3.53, 4 Hg 3.79
Hg (0.7434, 0.7434, 0.0000)  1 Cl 3.53, 4 Hg 3.79
Cl (0.0000, 0.5000, 0.5000)  2 Np 2.67
Cl (0.1066, 0.1066, 0.0000)  1 Np 2.51
Cl (0.5000, 0.0000, 0.5000)  2 Np 2.67
Cl (0.8934, 0.8934, 0.0000)  1 Np 2.51

---

The following is a DFT calculation (PBE) of a geometry-optimized TaSiRh structure.

Summary:
Raw formation energy   -0.837 eV per atom
Space group   No. 62
Crystal system   orthorhombic

Unit cell a=6.4130 b=3.7644 c=7.3480 alpha=90.00 beta=90.00 gamma=90.00
With the nearest neighbours (Å) after each atom.
Fractional coordinates of all 12 atoms:
Ta (0.0258, 0.2500, 0.1727)  5 Si 2.68-2.74, 6 Rh 2.91-3.00
Ta (0.4742, 0.7500, 0.6727)  5 Si 2.68-2.74, 6 Rh 2.91-3.00
Ta (0.5258, 0.2500, 0.3273)  5 Si 2.68-2.74, 6 Rh 2.91-3.00
Ta (0.9742, 0.7500, 0.8273)  5 Si 2.68-2.74, 6 Rh 2.91-3.00
Si (0.2329, 0.7500, 0.3752)  4 Rh 2.40-2.46, 3 Ta 2.68
Si (0.2671, 0.2500, 0.8752)  4 Rh 2.40-2.46, 3 Ta 2.68
Si (0.7329, 0.7500, 0.1248)  4 Rh 2.40-2.46, 3 Ta 2.68
Si (0.7671, 0.2500, 0.6248)  4 Rh 2.40-2.46, 3 Ta 2.68
Rh (0.1450, 0.2500, 0.5639)  4 Si 2.40-2.46
Rh (0.3550, 0.7500, 0.0639)  4 Si 2.40-2.46
Rh (0.6450, 0.2500, 0.9361)  4 Si 2.40-2.46
Rh (0.8550, 0.7500, 0.4361)  4 Si 2.40-2.46

---

The following is a DFT calculation (PBE) of a geometry-optimized LiYNp2Te4 structure.

Summary:
Raw formation energy   -0.897 eV per atom
Space group   No. 10
Crystal system   monoclinic

Unit cell a=7.5616 b=4.3574 c=7.5771 alpha=90.00 beta=109.38 gamma=90.00
With the nearest neighbours (Å) after each atom.
Fractional coordinates of all 8 atoms:
Li (0.0000, 0.0000, 0.0000)  6 Te 3.02-3.03
Y (0.5000, 0.5000, 0.0000)  6 Te 3.07-3.08
Np (0.0000, 0.5000, 0.5000)  6 Te 3.10-3.11
Np (0.5000, 0.0000, 0.5000)  6 Te 3.15
Te (0.2420, 0.5000, 0.2392)  2 Li 3.03, 1 Y 3.07, 3 Np 3.11-3.15
Te (0.2466, 0.0000, 0.7573)  1 Li 3.02, 2 Y 3.08, 3 Np 3.10-3.15
Te (0.7534, 0.0000, 0.2427)  1 Li 3.02, 2 Y 3.08, 3 Np 3.10-3.15
Te (0.7580, 0.5000, 0.7608)  2 Li 3.03, 1 Y 3.07, 3 Np 3.11-3.15

---

The following is a DFT calculation (PBE) of a geometry-optimized Tl2InBi2Pb2 structure.

Summary:
Formation energy from the elements   63 meV/atom
Space group   No. 12
Crystal system   monoclinic

Unit cell a=4.7026 b=4.7026 c=11.8337 alpha=100.40 beta=100.40 gamma=73.75
With the nearest neighbours (Å) after each atom.
Fractional coordinates of all 7 atoms:
Tl (0.2348, 0.2348, 0.0854)  4 Bi 3.30-3.55, 3 Tl 3.51-3.65, 1 Pb 3.64
Tl (0.7652, 0.7652, 0.9146)  4 Bi 3.30-3.55, 3 Tl 3.51-3.65, 1 Pb 3.64
In (0.0000, 0.0000, 0.5000)  2 Bi 3.20, 6 Pb 3.28-3.37
Bi (0.1020, 0.1020, 0.7779)  1 In 3.20, 3 Pb 3.25-3.37, 4 Tl 3.30-3.55
Bi (0.8980, 0.8980, 0.2221)  1 In 3.20, 3 Pb 3.25-3.37, 4 Tl 3.30-3.55
Pb (0.4299, 0.4299, 0.6397)  3 Bi 3.25-3.37, 3 In 3.28-3.37, 1 Tl 3.64
Pb (0.5701, 0.5701, 0.3603)  3 Bi 3.25-3.37, 3 In 3.28-3.37, 1 Tl 3.64

---

The following is a DFT calculation (PBE) of a geometry-optimized RbNa2Sn3O8 structure.

Summary:
Raw formation energy   -1.499 eV per atom
Space group   No. 160
Crystal system   trigonal

Unit cell a=7.2186 b=7.2186 c=7.2186 alpha=53.60 beta=53.60 gamma=53.60
With the nearest neighbours (Å) after each atom.
Fractional coordinates of all 14 atoms:
Rb (0.0000, 0.0000, 0.0000)  4 O 2.57
Na (0.3665, 0.3665, 0.3665)  6 O 2.55-2.56
Na (0.7549, 0.7549, 0.7549)  3 O 2.26
Sn (0.3652, 0.3652, 0.8614)  6 O 2.10-2.20
Sn (0.3652, 0.8614, 0.3652)  6 O 2.10-2.20
Sn (0.8614, 0.3652, 0.3652)  6 O 2.10-2.20
O (0.1176, 0.1176, 0.5412)  2 Sn 2.10
O (0.1176, 0.5412, 0.1176)  2 Sn 2.10
O (0.1390, 0.1390, 0.1390)  3 Sn 2.18
O (0.1719, 0.6205, 0.6205)  2 Sn 2.10, 1 Na 2.26
O (0.5412, 0.1176, 0.1176)  2 Sn 2.10
O (0.5940, 0.5940, 0.5940)  3 Sn 2.20
O (0.6205, 0.1719, 0.6205)  2 Sn 2.10, 1 Na 2.26
O (0.6205, 0.6205, 0.1719)  2 Sn 2.10, 1 Na 2.26

---

The following is a DFT calculation (PBE) of a geometry-optimized LaYSbSe structure.

Summary:
Raw formation energy   -1.465 eV per atom
Space group   No. 160
Crystal system   trigonal

Unit cell a=8.0039 b=8.0039 c=8.0039 alpha=30.77 beta=30.77 gamma=30.77
With the nearest neighbours (Å) after each atom.
Fractional coordinates of all 4 atoms:
La (0.0000, 0.0000, 0.0000)  3 Sb 3.18, 3 Se 3.20
Y (0.1675, 0.1675, 0.1675)  3 Se 3.02, 3 Sb 3.02
Sb (0.5783, 0.5783, 0.5783)  3 Y 3.02, 3 La 3.18
Se (0.7568, 0.7568, 0.7568)  3 Y 3.02, 3 La 3.20

---

Table of density (Mg/m³), in record order: 11.187; 6.269; 7.453; 3.679; 6.374; 15.260; 3.867; 11.680; 7.616; 9.200; 4.520; 5.978
Table of magnetization (μB per cell), in record order: 0.00; 0.01; 0.00; 0.00; 0.00; 0.00; 3.13; 0.00; 9.27; 0.00; 1.01; 0.51